# 1
# Cd3Hg2

A geometry-optimized Cd3Hg2 structure (PBE-GGA, Alexandria).

Lattice parameters (Å, degrees): 10.410 14.722 6.293 90.00 90.00 90.00
Space group Fdd2 (No. 43)
Inequivalent atoms, fractional coordinates:
Cd (0.000, 0.000, 0.000) (multiplicity 8)
Cd (0.054, 0.396, 0.060) (multiplicity 16)
Hg (0.042, 0.302, 0.606) (multiplicity 16)

Results
Size of the total moment (μB per atom): 0.000
Electronic total energy (eV per cell): -25.8
Crystal system: orthorhombic

# 2
# Tb5DyEr2Th

A geometry-optimized Tb5DyEr2Th structure (PBE-GGA, Alexandria).

Lattice parameters (Å, degrees): 5.698 21.512 9.677 90.00 90.00 90.00
Space group Cmc2_1 (No. 36)
Inequivalent atoms, fractional coordinates:
Tb (0.000, 0.015, 0.000) (multiplicity 4)
Tb (0.000, 0.272, 0.304) (multiplicity 4)
Tb (0.000, 0.304, 0.698) (multiplicity 4)
Tb (0.000, 0.399, 0.025) (multiplicity 4)
Tb (0.000, 0.468, 0.725) (multiplicity 4)
Dy (0.000, 0.189, 0.000) (multiplicity 4)
Er (0.000, 0.116, 0.313) (multiplicity 4)
Er (0.000, 0.128, 0.695) (multiplicity 4)
Th (0.000, 0.406, 0.405) (multiplicity 4)

Results
Size of the total moment (μB per atom): 0.000
Electronic total energy (eV per cell): -171.5
Crystal system: orthorhombic

# 3
# V5Zn2Ni12

A geometry-optimized V5Zn2Ni12 structure (PBE-GGA, Alexandria).

Lattice parameters (Å, degrees): 13.669 4.821 8.078 90.00 110.38 90.00
Space group C2/m (No. 12)
Inequivalent atoms, fractional coordinates:
V (0.000, 0.000, 0.000) (multiplicity 2)
V (0.143, 0.500, 0.360) (multiplicity 4)
V (0.186, 0.500, 0.865) (multiplicity 4)
Zn (0.000, 0.249, 0.500) (multiplicity 4)
Ni (0.012, 0.500, 0.860) (multiplicity 4)
Ni (0.118, 0.000, 0.816) (multiplicity 4)
Ni (0.156, 0.253, 0.108) (multiplicity 8)
Ni (0.198, 0.244, 0.614) (multiplicity 8)

Results
Size of the total moment (μB per atom): 0.000
Electronic total energy (eV per cell): -230.7
Crystal system: monoclinic